Below is a relaxed structure of Sr2CoRh, with properties calculated at the PBE-GGA level.

N(E_F), states/eV/f.u.: 9.4
Magnetic moment, μB per formula unit: 1.60
Formation enthalpy at 0 K, eV/f.u.: 1.3
Offset from the most stable computed form, meV per atom: 351.2

```
Sr2CoRh
1.0
5.2162 0.1155 -0.0633
-0.0988 5.2165 -0.0633
0.0409 0.0426 3.5886
Co Rh Sr
1 1 2
Direct
0.5000 0.0000 0.5000 Co
0.0000 0.5000 0.5000 Rh
0.0000 0.0000 0.0000 Sr
0.5000 0.5000 0.0000 Sr
```